# Hf12Al3Re5

A geometry-optimized Hf12Al3Re5 structure (PBE, Alexandria via LeMat-Bulk).

Results
Symmetry: Ia-3d (230)
Calculated formation energy in meV per atom: 804

Unit cell a=13.665 b=13.665 c=13.665 alpha=109.47 beta=109.47 gamma=109.47
Sites, in units of the cell vectors:
Al: 0.750 0.375 0.125
Al: 0.875 0.750 0.125
Al: 0.375 0.750 0.625
Al: 0.250 0.125 0.375
Al: 0.875 0.125 0.250
Al: 0.375 0.625 0.250
Al: 0.625 0.375 0.750
Al: 0.125 0.875 0.750
Al: 0.750 0.875 0.625
Al: 0.625 0.250 0.375
Al: 0.125 0.250 0.875
Al: 0.250 0.625 0.875
Re: 0.125 0.375 0.250
Re: 0.000 0.500 0.000
Re: 0.000 0.000 0.000
Re: 0.375 0.250 0.125
Re: 0.500 0.000 0.500
Re: 0.500 0.500 0.000
Re: 0.125 0.750 0.375
Re: 0.750 0.125 0.875
Re: 0.750 0.625 0.375
Re: 0.375 0.125 0.750
Re: 0.625 0.875 0.250
Re: 0.500 0.500 0.500
Re: 0.500 0.000 0.000
Re: 0.000 0.000 0.500
Re: 0.250 0.375 0.625
Re: 0.250 0.875 0.125
Re: 0.000 0.500 0.500
Re: 0.875 0.250 0.625
Re: 0.625 0.750 0.875
Re: 0.875 0.625 0.750
Hf: 0.715 0.127 0.046
Hf: 0.330 0.546 0.418
Hf: 0.954 0.373 0.285
Hf: 0.546 0.215 0.127
Hf: 0.588 0.715 0.670
Hf: 0.954 0.582 0.170
Hf: 0.330 0.785 0.412
Hf: 0.082 0.912 0.127
Hf: 0.582 0.954 0.670
Hf: 0.715 0.588 0.170
Hf: 0.785 0.454 0.373
Hf: 0.830 0.918 0.046
Hf: 0.127 0.715 0.546
Hf: 0.373 0.418 0.088
Hf: 0.088 0.918 0.373
Hf: 0.412 0.127 0.582
Hf: 0.088 0.170 0.215
Hf: 0.454 0.670 0.082
Hf: 0.830 0.912 0.285
Hf: 0.127 0.412 0.082
Hf: 0.373 0.954 0.785
Hf: 0.582 0.627 0.412
Hf: 0.918 0.830 0.546
Hf: 0.785 0.330 0.912
Hf: 0.418 0.373 0.588
Hf: 0.082 0.170 0.454
Hf: 0.215 0.670 0.088
Hf: 0.170 0.088 0.715
Hf: 0.627 0.046 0.215
Hf: 0.873 0.588 0.918
Hf: 0.546 0.330 0.918
Hf: 0.588 0.873 0.418
Hf: 0.912 0.830 0.785
Hf: 0.912 0.082 0.627
Hf: 0.873 0.285 0.454
Hf: 0.170 0.082 0.954
Hf: 0.627 0.582 0.912
Hf: 0.418 0.046 0.330
Hf: 0.285 0.412 0.830
Hf: 0.215 0.546 0.627
Hf: 0.918 0.088 0.873
Hf: 0.670 0.215 0.588
Hf: 0.454 0.785 0.873
Hf: 0.046 0.418 0.830
Hf: 0.412 0.285 0.330
Hf: 0.046 0.627 0.715
Hf: 0.670 0.454 0.582
Hf: 0.285 0.873 0.954

=====

# HfAlRe2Sb

A geometry-optimized HfAlRe2Sb structure (PBE, Alexandria via LeMat-Bulk).

Results
Symmetry: P4/mmm (123)
ΔE_f (raw) in eV/atom: 2.044

Unit cell a=4.928 b=5.344 c=4.928 alpha=90.00 beta=90.00 gamma=90.00
Sites, in units of the cell vectors:
Re: 0.000 0.000 0.500
Re: 0.500 0.000 0.000
Hf: 0.000 0.000 0.000
Al: 0.500 0.500 0.500
Sb: 0.000 0.500 0.000

=====

# HfAlReSe2

A geometry-optimized HfAlReSe2 structure (PBE, Alexandria via LeMat-Bulk).

Results
Symmetry: P4/mmm (123)
ΔE_f (raw) in eV/atom: 0.845

Unit cell a=4.687 b=4.687 c=4.687 alpha=90.00 beta=90.00 gamma=90.00
Sites, in units of the cell vectors:
Re: 0.000 0.500 0.000
Hf: 0.500 0.500 0.500
Al: 0.000 0.000 0.000
Se: 0.000 0.000 0.500
Se: 0.500 0.000 0.000